Entry w
Material: NaLiAgHg
Method: DFT, PBE-GGA
State: optimized geometry

Values from the calculation:
Crystal system: cubic

Cell lengths 4.864, 4.864, 4.864 Å; angles 60.00, 60.00, 60.00 degrees
Positions (direct):
Li 0.750 0.750 0.750
Na 0.000 0.000 0.000
Hg 0.500 0.500 0.500
Ag 0.250 0.250 0.250


Entry x
Material: NaLiAgHg
Method: DFT, PBE-GGA
State: optimized geometry

Values from the calculation:
Crystal system: tetragonal

Cell lengths 3.276, 3.276, 7.722 Å; angles 90.00, 90.00, 90.00 degrees
Positions (direct):
Na 0.000 0.000 0.086
Hg 0.500 0.500 0.781
Ag 0.500 0.500 0.364
Li 0.000 0.000 0.553


How do the structures above rank in stability at the extremes? entry x comes first and entry w comes last.